# 1
This record from Alexandria describes crystalline KAl2Cr at its relaxed geometry. The functional is GGA-PBE.

Cell: 2.9738 5.5500 10.8794 Å, 90.00 90.00 90.00°
Closest atoms and distances in Å follow each position.
Space group Imm2 (No. 44)
Asymmetric unit:
K (0.0000, 0.0000, 0.0000) [2 per cell]  2 K 2.97, 4 Al 3.15
Al (0.0000, 0.0000, 0.5003) [2 per cell]  2 Cr 2.68, 4 Al 2.77-2.97
Al (0.0000, 0.5000, 0.7856) [2 per cell]  4 Al 2.77-2.97
Cr (0.0000, 0.5000, 0.2058) [2 per cell]  2 Al 2.68, 2 Cr 2.97

Computed properties:
formation energy from the elements: 2.4 eV/f.u.
density: 2.68 g/cm³
calculated volume: 22.445 Å³ per atom
crystal system: orthorhombic

# 2
This record from Alexandria describes crystalline KAlCr2 at its relaxed geometry. The functional is GGA-PBE.

Cell: 3.0777 5.7963 10.6395 Å, 90.00 90.00 90.00°
Closest atoms and distances in Å follow each position.
Space group Immm (No. 71)
Asymmetric unit:
K (0.0000, 0.0000, 0.0000) [2 per cell]  2 K 3.08, 4 Al 3.28
Al (0.0000, 0.0000, 0.5000) [2 per cell]  4 Cr 2.66
Cr (0.0000, 0.5000, 0.2037) [4 per cell]  2 Al 2.66

Computed properties:
formation energy from the elements: 3.9 eV/f.u.
density: 2.98 g/cm³
calculated volume: 23.725 Å³ per atom
crystal system: orthorhombic

# 3
This record from Alexandria describes crystalline K4AlCr at its relaxed geometry. The functional is GGA-PBE.

Cell: 10.1520 10.1520 10.1520 Å, 90.00 90.00 90.00°
Closest atoms and distances in Å follow each position.
Space group F-43m (No. 216)
Asymmetric unit:
K (0.1247, 0.1247, 0.1247) [16 per cell]  6 K 3.58-3.60
Al (0.2500, 0.2500, 0.7500) [4 per cell]  12 K 4.21, 4 Cr 4.40
Cr (0.0000, 0.0000, 0.5000) [4 per cell]  12 K 4.21, 4 Al 4.40

Computed properties:
formation energy from the elements: 5.1 eV/f.u.
density: 1.49 g/cm³
calculated volume: 43.596 Å³ per atom
crystal system: cubic